(1)
# YHo8Cd6

A relaxed YHo8Cd6 crystal (PBE, Alexandria).

## Properties
The magnetization is 0.003 μB per atom. The density of states at the Fermi level is 1.225 states/eV per atom. Its electronic total energy is -3.3055 eV per atom. Its density is 7.9 Mg/m³. For the formation energy, the calculation gives -67 meV per atom.

Geometry as extended XYZ:
```
15
Lattice="8.937 0.000 0.000 4.469 7.740 0.000 4.469 2.580 6.349" Properties=species:S:1:pos:R:3 pbc="T T T"
Y 0.000 0.000 0.000
Ho 7.439 2.586 2.212
Ho 10.417 2.575 4.137
Ho 5.959 5.171 4.137
Ho 8.937 5.160 0.011
Ho 8.937 5.160 6.338
Ho 11.915 5.149 2.212
Ho 7.457 7.744 2.212
Ho 10.436 7.734 4.137
Cd 7.453 2.579 5.354
Cd 10.430 2.584 0.995
Cd 5.960 5.155 0.995
Cd 11.914 5.165 5.354
Cd 7.444 7.736 5.354
Cd 10.421 7.741 0.995
```

(2)
# YHo6Cd2

A relaxed YHo6Cd2 crystal (PBE, Alexandria).

## Properties
The magnetization is 0.000 μB per atom. The density of states at the Fermi level is 1.057 states/eV per atom. Its electronic total energy is -4.1056 eV per atom. Its density is 8.3 Mg/m³. For the formation energy, the calculation gives -132 meV per atom.

Geometry as extended XYZ:
```
9
Lattice="3.678 0.000 0.584 1.619 6.121 1.680 0.045 -0.103 11.591" Properties=species:S:1:pos:R:3 pbc="T T T"
Y 0.000 0.000 0.000
Ho 3.346 3.075 2.680
Ho 1.997 2.943 11.175
Ho 2.458 4.786 8.269
Ho 4.757 4.180 5.666
Ho 0.585 1.838 8.189
Ho 2.884 1.232 5.586
Cd 1.444 0.485 2.783
Cd 3.899 5.533 11.072
```

(3)
# YHo3Cd6

A relaxed YHo3Cd6 crystal (PBE, Alexandria).

## Properties
The magnetization is 0.000 μB per atom. The density of states at the Fermi level is 0.716 states/eV per atom. Its electronic total energy is -2.8609 eV per atom. Its density is 8.4 Mg/m³. For the formation energy, the calculation gives -292 meV per atom.

Geometry as extended XYZ:
```
20
Lattice="-1.111 -3.827 -3.254 2.667 -6.112 6.278 -10.750 1.588 1.802" Properties=species:S:1:pos:R:3 pbc="T T T"
Y -4.302 -5.759 6.209
Y -4.892 -2.592 -1.382
Ho -3.101 -3.564 3.217
Ho -6.093 -4.787 1.610
Ho -7.889 -1.841 2.825
Ho -1.305 -6.510 2.002
Ho 1.722 -5.596 3.961
Ho -10.916 -2.755 0.866
Cd -0.112 -3.550 2.181
Cd -9.082 -4.801 2.646
Cd -2.001 -1.520 0.437
Cd -7.193 -6.831 4.390
Cd -6.138 -3.846 4.586
Cd -3.056 -4.505 0.241
Cd -5.011 -1.640 1.606
Cd -4.183 -6.711 3.221
Cd -1.323 -5.646 5.058
Cd -7.871 -2.706 -0.231
Cd -9.829 0.156 1.139
Cd 0.635 -8.507 3.688
```

(4)
# YHo7Cd4

A relaxed YHo7Cd4 crystal (PBE, Alexandria).

## Properties
The magnetization is 0.000 μB per atom. The density of states at the Fermi level is 1.149 states/eV per atom. Its electronic total energy is -3.4961 eV per atom. Its density is 8.2 Mg/m³. For the formation energy, the calculation gives 18 meV per atom.

Geometry as extended XYZ:
```
12
Lattice="-3.410 2.179 3.977 -8.500 -1.894 -2.204 -2.772 -5.604 4.740" Properties=species:S:1:pos:R:3 pbc="T T T"
Y 0.000 0.000 0.000
Ho -11.671 -2.931 3.740
Ho -3.011 -2.387 2.773
Ho -5.977 -2.472 0.277
Ho -8.706 -2.846 6.236
Ho -8.953 -5.127 3.227
Ho -1.705 1.089 1.988
Ho -5.729 -0.191 3.286
Cd -6.017 -2.879 4.513
Cd -8.665 -2.439 2.001
Cd -10.638 -5.250 5.896
Cd -4.044 -0.069 0.617
```

(5)
# YHo5Cd

A relaxed YHo5Cd crystal (PBE, Alexandria).

## Properties
The magnetization is 0.000 μB per atom. The density of states at the Fermi level is 1.606 states/eV per atom. Its electronic total energy is -4.2590 eV per atom. Its density is 8.0 Mg/m³. For the formation energy, the calculation gives 65 meV per atom.

Geometry as extended XYZ:
```
14
Lattice="-1.573 6.037 -6.555 7.665 -1.027 -4.698 -1.209 -2.857 -4.852" Properties=species:S:1:pos:R:3 pbc="T T T"
Y 3.274 1.385 -6.733
Y 1.609 0.768 -9.372
Ho 3.509 4.366 -8.525
Ho 6.498 0.725 -7.147
Ho 4.803 1.486 -10.570
Ho 0.441 3.552 -7.302
Ho 4.537 -1.385 -5.417
Ho 0.346 3.539 -10.688
Ho 4.442 -1.398 -8.803
Ho 0.080 0.668 -5.535
Ho -1.616 1.428 -8.958
Ho 1.374 -2.213 -7.580
Cd 0.000 0.000 0.000
Cd -0.605 -1.428 -2.426
```

(6)
# Y12Ho3Cd

A relaxed Y12Ho3Cd crystal (PBE, Alexandria).

## Properties
The magnetization is 0.000 μB per atom. The density of states at the Fermi level is 1.372 states/eV per atom. Its electronic total energy is -5.7656 eV per atom. Its density is 5.5 Mg/m³. For the formation energy, the calculation gives -2 meV per atom.

Geometry as extended XYZ:
```
16
Lattice="4.984 0.000 0.000 0.000 4.984 0.000 0.000 0.000 20.183" Properties=species:S:1:pos:R:3 pbc="T T T"
Y 2.492 2.492 0.000
Y 2.492 2.492 4.937
Y 2.492 2.492 10.092
Y 2.492 2.492 15.247
Y 2.492 0.000 2.449
Y 2.492 0.000 7.537
Y 2.492 0.000 12.647
Y 2.492 0.000 17.734
Y 0.000 2.492 2.449
Y 0.000 2.492 7.537
Y 0.000 2.492 12.647
Y 0.000 2.492 17.734
Ho 0.000 0.000 5.007
Ho 0.000 0.000 10.092
Ho 0.000 0.000 15.176
Cd 0.000 0.000 0.000
```

(7)
# Y3Ho2Cd3

A relaxed Y3Ho2Cd3 crystal (PBE, Alexandria).

## Properties
The magnetization is 0.000 μB per atom. The density of states at the Fermi level is 1.150 states/eV per atom. Its electronic total energy is -4.1719 eV per atom. Its density is 7.0 Mg/m³. For the formation energy, the calculation gives -260 meV per atom.

Geometry as extended XYZ:
```
8
Lattice="3.677 0.000 -0.592 -0.201 5.190 -1.248 -0.023 0.033 11.571" Properties=species:S:1:pos:R:3 pbc="T T T"
Y 1.292 1.980 8.024
Y 2.161 3.243 1.707
Y 1.839 0.000 -0.296
Ho 0.814 3.996 5.054
Ho 2.640 1.227 4.677
Cd 3.051 4.606 7.231
Cd -0.100 2.595 -0.624
Cd 0.403 0.617 2.500
```

(8)
# YHoCd17

A relaxed YHoCd17 crystal (PBE, Alexandria).

## Properties
The magnetization is 0.000 μB per atom. The density of states at the Fermi level is 0.304 states/eV per atom. Its electronic total energy is -1.5021 eV per atom. Its density is 8.2 Mg/m³. For the formation energy, the calculation gives -102 meV per atom.

Geometry as extended XYZ:
```
19
Lattice="7.594 0.082 0.987 0.878 7.544 0.987 0.091 0.082 7.657" Properties=species:S:1:pos:R:3 pbc="T T T"
Y 5.743 5.170 6.461
Ho 2.761 2.486 3.106
Cd 2.378 0.093 5.602
Cd 5.524 2.355 0.996
Cd 0.647 5.246 3.018
Cd 2.922 5.246 0.996
Cd 0.342 2.355 5.602
Cd 5.285 0.093 3.018
Cd 3.394 6.700 3.818
Cd 2.969 2.672 7.418
Cd 7.019 2.672 3.818
Cd 4.949 1.780 5.567
Cd 5.261 4.735 2.926
Cd 2.289 4.735 5.567
Cd 7.951 4.147 8.945
Cd 8.302 7.473 5.972
Cd 4.958 7.473 8.945
Cd 7.781 7.003 8.753
Cd 0.868 0.782 0.977
```

Question: Look up the density of the first one.
Answer: 7.9 Mg/m³

Question: Among the records above, which one has the lowest density?
Answer: Y12Ho3Cd

Question: Among the records above, which one has the highest magnetization?
Answer: YHo8Cd6

Question: Among the records above, which one has the lowest electronic total energy?
Answer: Y12Ho3Cd